(1)
DFT (PBE) results for a geometry-optimized HgBiTe2 structure.

Cell: 3.4101 3.4101 36.1926 Å, 90.00 90.00 120.00°
Closest atoms and distances in Å follow each position.
Space group R-3m (No. 166, hexagonal axes)
One atom of each set of equivalent atoms:
1 Hg 0.0000 0.0000 0.0000 x3  2 Te 3.14, 6 Hg 3.41
2 Bi 0.0000 0.0000 0.5000 x3  6 Bi 3.41, 6 Te 3.50
3 Te 0.0000 0.0000 0.0867 x6  1 Hg 3.14, 6 Te 3.41, 3 Bi 3.50

Calculated values
- M_tot (μB per cell) = 0.00
- distance to the lowest polymorph of the same formula (meV per atom) = 336
- formation energy from raw total energies (meV/atom) = 196
- total DFT energy (no corrections) (eV/f.u.) = -9.68


(2)
DFT (PBE) results for a geometry-optimized Sm5Ho3Cd2 structure.

Cell: 13.2956 14.7519 6.6606 Å, 90.00 90.00 90.00°
Closest atoms and distances in Å follow each position.
Space group Ibam (No. 72)
One atom of each set of equivalent atoms:
1 Sm 0.0000 0.0000 0.2500 x4  8 Sm 3.23-3.34
2 Sm 0.1035 0.1724 0.0000 x8  1 Cd 2.87
3 Sm 0.2429 0.0000 0.2500 x8  2 Cd 3.12, 3 Sm 3.23-3.33, 1 Ho 3.42
4 Ho 0.0000 0.5000 0.2500 x4  4 Cd 3.09, 2 Ho 3.33, 2 Sm 3.42
5 Ho 0.1318 0.2859 0.5000 x8  4 Cd 3.53-3.92, 6 Sm 3.55-3.94
6 Cd 0.1263 0.3657 0.0000 x8  3 Sm 2.87-3.12, 2 Ho 3.09

Calculated values
- M_tot (μB per cell) = 0.00
- total DFT energy (no corrections) (eV/f.u.) = -37.23
- energy of formation from the pure elements (eV/atom) = 0.193


(3)
DFT (PBE) results for a geometry-optimized MgHgGe structure.

Cell: 3.8857 4.9685 7.1899 Å, 88.38 89.94 68.38°
Closest atoms and distances in Å follow each position.
Space group P-1 (No. 2)
One atom of each set of equivalent atoms:
1 Mg 0.0533 0.3830 0.2448 x2  5 Ge 2.92-3.16, 5 Hg 2.97-3.21
2 Hg 0.3498 0.7942 0.4221 x2  1 Ge 2.78, 3 Hg 2.91-2.98, 3 Mg 2.97-3.05
3 Ge 0.3402 0.8129 0.0350 x2  2 Ge 2.63-2.65, 1 Hg 2.78, 1 Mg 2.92

Calculated values
- M_tot (μB per cell) = 0.00
- total DFT energy (no corrections) (eV/f.u.) = -6.64
- energy of formation from the pure elements (eV/atom) = -0.041


(4)
DFT (PBE) results for a geometry-optimized Pr4PtPb structure.

Cell: 6.4014 7.0919 9.0533 Å, 90.00 110.68 90.00°
Closest atoms and distances in Å follow each position.
Space group P2_1/m (No. 11)
One atom of each set of equivalent atoms:
1 Pr 0.0162 0.0028 0.2205 x4  2 Pt 2.97-3.04
2 Pr 0.3983 0.2500 0.6259 x2  1 Pt 2.98
3 Pr 0.4227 0.2500 0.0799 x2  1 Pt 2.88
4 Pt 0.2376 0.7500 0.0596 x2  6 Pr 2.88-3.04
5 Pb 0.2295 0.7500 0.5564 x2  6 Pr 3.26-3.44

Calculated values
- M_tot (μB per cell) = 0.00
- distance to the lowest polymorph of the same formula (meV per atom) = 0
- total DFT energy (no corrections) (eV/f.u.) = -32.33
- energy of formation from the pure elements (eV/atom) = -0.577


(5)
DFT (PBE) results for a geometry-optimized TcOs2 structure.

Cell: 2.7510 2.7510 23.7728 Å, 90.00 90.00 90.00°
Closest atoms and distances in Å follow each position.
Space group I4_1/amd (No. 141, origin choice 2)
One atom of each set of equivalent atoms:
1 Tc 0.0000 0.2500 0.3750 x4  8 Os 2.69, 4 Tc 2.75
2 Os 0.0000 0.2500 0.7966 x8  6 Os 2.61-2.75, 4 Tc 2.69

Calculated values
- M_tot (μB per cell) = 0.00
- distance to the lowest polymorph of the same formula (meV per atom) = 388
- total DFT energy (no corrections) (eV/f.u.) = -31.88
- energy of formation from the pure elements (eV/atom) = 0.316


(6)
DFT (PBE) results for a geometry-optimized BiH6Ir2Au structure.

Cell: 7.4311 11.5583 5.6252 Å, 90.00 106.92 90.00°
Closest atoms and distances in Å follow each position.
Space group C2/c (No. 15)
One atom of each set of equivalent atoms:
1 Bi 0.0000 0.1738 0.2500 x4  4 Ir 2.81-2.91, 6 H 2.86-3.13
2 H 0.1003 0.4390 0.9669 x8  1 Ir 1.65
3 H 0.1740 0.1844 0.8592 x8  1 Ir 1.68
4 H 0.2328 0.4509 0.3045 x8  2 Ir 1.76-1.77, 1 H 1.87
5 Ir 0.1691 0.0459 0.9476 x8  4 H 1.65-1.77
6 Au 0.0000 0.3095 0.7500 x4  4 H 1.92-1.94

Calculated values
- M_tot (μB per cell) = 0.00
- total DFT energy (no corrections) (eV/f.u.) = -43.64


(7)
DFT (PBE) results for a geometry-optimized LiTmHgPd structure.

Cell: 6.8163 6.8163 6.8163 Å, 90.00 90.00 90.00°
Closest atoms and distances in Å follow each position.
Space group F-43m (No. 216)
One atom of each set of equivalent atoms:
1 Li 0.0000 0.0000 0.0000 x4  4 Hg 2.95, 4 Pd 2.95
2 Tm 0.0000 0.0000 0.5000 x4  4 Hg 2.95, 4 Pd 2.95
3 Hg 0.2500 0.2500 0.7500 x4  4 Li 2.95, 4 Tm 2.95
4 Pd 0.2500 0.2500 0.2500 x4  4 Tm 2.95, 4 Li 2.95

Calculated values
- M_tot (μB per cell) = 0.00
- total DFT energy (no corrections) (eV/f.u.) = -13.98
- energy of formation from the pure elements (eV/atom) = -0.526


(8)
DFT (PBE) results for a geometry-optimized Cs3In2Au3 structure.

Cell: 4.3354 14.1149 19.8557 Å, 90.00 90.00 90.00°
Closest atoms and distances in Å follow each position.
Space group Cmcm (No. 63)
One atom of each set of equivalent atoms:
1 Cs 0.0000 0.0637 0.2500 x4  7 Au 3.76-3.97, 2 In 4.11
2 Cs 0.0000 0.1250 0.0413 x8  4 Au 3.85-3.87, 2 Cs 3.89-4.23, 3 In 4.04-4.08
3 In 0.0000 0.1968 0.6576 x8  4 Au 2.86-2.88
4 Au 0.0000 0.3299 0.2500 x4  4 In 2.86, 2 Au 2.98
5 Au 0.0000 0.4232 0.1153 x8  2 In 2.88, 1 Au 2.98

Calculated values
- M_tot (μB per cell) = 0.00
- total DFT energy (no corrections) (eV/f.u.) = -19.70
- energy of formation from the pure elements (eV/atom) = -0.229